DFT (PBE) results for a relaxed structure of Pm2RuSe.

## Properties
- space group = R-3m, No. 166
- total magnetization (μB/atom) = 0.000
- formation energy from raw total energies (eV per formula unit) = -3.299
- E (eV/atom) = -6.3901

Lattice parameters (Å, degrees): 4.0792 4.0792 7.5819 74.39 74.39 60.00
Fractional positions:
Ru  0.0000  0.0000  0.0000
Se  0.5000  0.5000  0.5000
Pm  0.7429  0.7429  0.7714
Pm  0.2571  0.2571  0.2286